# 1
Material: Ga2BiO
Method: DFT, PBE-GGA
State: optimized geometry

Properties
**Raw formation energy**: 0.1763 eV/atom
**Magnetic moment**: 0.0000 μB per atom
**ΔE to the lowest computed polymorph**: 0.563 eV/atom

The structure in CIF format:
```
data_Ga2BiO
_chemical_formula_sum 'Ga8 Bi4 O4'
_cell_length_a 6.755
_cell_length_b 6.755
_cell_length_c 6.755
_cell_angle_alpha 90.00
_cell_angle_beta 90.00
_cell_angle_gamma 90.00
_space_group_name_H-M_alt 'F m -3 m'
_space_group_IT_number 225
_space_group_name_Hall '-F 4 2 3'
loop_
_atom_site_label
_atom_site_type_symbol
_atom_site_fract_x
_atom_site_fract_y
_atom_site_fract_z
_atom_site_occupancy
Ga1 Ga 0.250 0.250 0.250 1
Bi1 Bi 0.000 0.000 0.000 1
O1 O 0.000 0.000 0.500 1
```

# 2
Material: BBr
Method: DFT, PBE-GGA
State: optimized geometry

Properties
**Raw formation energy**: 0.1890 eV/atom
**Magnetic moment**: 0.0000 μB per atom
**ΔE to the lowest computed polymorph**: 0.515 eV/atom

The structure in CIF format:
```
data_BBr
_chemical_formula_sum 'B8 Br8'
_cell_length_a 11.669
_cell_length_b 11.669
_cell_length_c 3.224
_cell_angle_alpha 90.00
_cell_angle_beta 90.00
_cell_angle_gamma 90.00
_space_group_name_H-M_alt 'P 4/m'
_space_group_IT_number 83
loop_
_space_group_symop_operation_xyz
'x,y,z'
'-x,-y,-z'
'-y,x,z'
'y,-x,-z'
'-x,-y,z'
'x,y,-z'
'y,-x,z'
'-y,x,-z'
loop_
_atom_site_label
_atom_site_type_symbol
_atom_site_fract_x
_atom_site_fract_y
_atom_site_fract_z
_atom_site_occupancy
B1 B 0.197 0.790 0.000 1
B2 B 0.210 0.253 0.500 1
Br1 Br 0.039 0.732 0.000 1
Br2 Br 0.253 0.415 0.500 1
```

# 3
Material: NdSmHoEr2
Method: DFT, PBE-GGA
State: optimized geometry

Properties
**Magnetic moment**: 0.0006 μB per atom
**Formation energy**: 0.385 eV per atom

The structure in CIF format:
```
data_NdSmHoEr2
_chemical_formula_sum 'Nd4 Sm4 Ho4 Er8'
_cell_length_a 8.392
_cell_length_b 11.486
_cell_length_c 7.170
_cell_angle_alpha 90.00
_cell_angle_beta 90.00
_cell_angle_gamma 90.00
_space_group_name_H-M_alt 'C m c m'
_space_group_IT_number 63
_space_group_name_Hall '-C 2c 2'
loop_
_atom_site_label
_atom_site_type_symbol
_atom_site_fract_x
_atom_site_fract_y
_atom_site_fract_z
_atom_site_occupancy
Nd1 Nd 0.000 0.229 0.250 1
Sm1 Sm 0.000 0.500 0.250 1
Ho1 Ho 0.000 0.221 0.750 1
Er1 Er 0.187 0.000 0.000 1
```

# 4
Material: K3Tb2VSe6
Method: DFT, PBE-GGA
State: optimized geometry

Properties
**Raw formation energy**: -1.4300 eV/atom
**Magnetic moment**: 0.1667 μB per atom

The structure in CIF format:
```
data_K3Tb2VSe6
_chemical_formula_sum 'K6 Tb4 V2 Se12'
_cell_length_a 7.105
_cell_length_b 12.315
_cell_length_c 8.026
_cell_angle_alpha 90.00
_cell_angle_beta 107.29
_cell_angle_gamma 90.00
_space_group_name_H-M_alt 'C 1 2/m 1'
_space_group_IT_number 12
loop_
_space_group_symop_operation_xyz
'x,y,z'
'-x,-y,-z'
'-x,y,-z'
'x,-y,z'
'x+1/2,y+1/2,z'
'-x+1/2,-y+1/2,-z'
'-x+1/2,y+1/2,-z'
'x+1/2,-y+1/2,z'
loop_
_atom_site_label
_atom_site_type_symbol
_atom_site_fract_x
_atom_site_fract_y
_atom_site_fract_z
_atom_site_occupancy
K1 K 0.000 0.000 0.000 1
K2 K 0.000 0.329 0.000 1
Tb1 Tb 0.000 0.166 0.500 1
V1 V 0.000 0.500 0.500 1
Se1 Se 0.221 0.345 0.698 1
Se2 Se 0.243 0.500 0.301 1
```

# 5
Material: CsSm2Au2O6
Method: DFT, PBE-GGA
State: optimized geometry

Properties
**Raw formation energy**: -1.6014 eV/atom
**Magnetic moment**: 0.0696 μB per atom

The structure in CIF format:
```
data_CsSm2Au2O6
_chemical_formula_sum 'Cs1 Sm2 Au2 O6'
_cell_length_a 6.572
_cell_length_b 6.749
_cell_length_c 6.827
_cell_angle_alpha 95.12
_cell_angle_beta 114.85
_cell_angle_gamma 116.58
_space_group_name_H-M_alt 'P -1'
_space_group_IT_number 2
loop_
_space_group_symop_operation_xyz
'x,y,z'
'-x,-y,-z'
loop_
_atom_site_label
_atom_site_type_symbol
_atom_site_fract_x
_atom_site_fract_y
_atom_site_fract_z
_atom_site_occupancy
Cs1 Cs 0.000 0.000 0.000 1
Sm1 Sm 0.367 0.686 0.036 1
Au1 Au 0.090 0.760 0.473 1
O1 O 0.092 0.598 0.193 1
O2 O 0.281 0.349 0.792 1
O3 O 0.410 0.896 0.785 1
```

# 6
Material: Sr2CoSbMo
Method: DFT, PBE-GGA
State: optimized geometry

Properties
**Raw formation energy**: 0.6212 eV/atom
**Magnetic moment**: 0.9496 μB per atom

The structure in CIF format:
```
data_Sr2CoSbMo
_chemical_formula_sum 'Sr2 Co1 Sb1 Mo1'
_cell_length_a 5.677
_cell_length_b 5.677
_cell_length_c 4.743
_cell_angle_alpha 90.00
_cell_angle_beta 90.00
_cell_angle_gamma 90.00
_space_group_name_H-M_alt 'P 4/m m m'
_space_group_IT_number 123
_space_group_name_Hall '-P 4 2'
loop_
_atom_site_label
_atom_site_type_symbol
_atom_site_fract_x
_atom_site_fract_y
_atom_site_fract_z
_atom_site_occupancy
Sr1 Sr 0.000 0.500 0.000 1
Co1 Co 0.000 0.000 0.000 1
Sb1 Sb 0.000 0.000 0.500 1
Mo1 Mo 0.500 0.500 0.500 1
```

# 7
Material: Pu6IrRu3
Method: DFT, PBE-GGA
State: optimized geometry

Properties
**Magnetic moment**: 1.0043 μB per atom
**Formation energy**: -0.096 eV per atom

The structure in CIF format:
```
data_Pu6IrRu3
_chemical_formula_sum 'Pu12 Ir2 Ru6'
_cell_length_a 5.371
_cell_length_b 7.638
_cell_length_c 11.206
_cell_angle_alpha 90.00
_cell_angle_beta 116.46
_cell_angle_gamma 90.00
_space_group_name_H-M_alt 'P 1 21/c 1'
_space_group_IT_number 14
loop_
_space_group_symop_operation_xyz
'x,y,z'
'-x,-y,-z'
'-x,y+1/2,-z+1/2'
'x,-y+1/2,z+1/2'
loop_
_atom_site_label
_atom_site_type_symbol
_atom_site_fract_x
_atom_site_fract_y
_atom_site_fract_z
_atom_site_occupancy
Pu1 Pu 0.042 0.159 0.081 1
Pu2 Pu 0.367 0.746 0.241 1
Pu3 Pu 0.386 0.152 0.428 1
Ir1 Ir 0.500 0.000 0.000 1
Ru1 Ru 0.000 0.000 0.500 1
Ru2 Ru 0.042 0.076 0.756 1
```

# 8
Material: TeAs2Pb
Method: DFT, PBE-GGA
State: optimized geometry

Properties
**Raw formation energy**: 0.3926 eV/atom
**Magnetic moment**: 0.0000 μB per atom
**ΔE to the lowest computed polymorph**: 0.451 eV/atom

The structure in CIF format:
```
data_TeAs2Pb
_chemical_formula_sum 'Te2 As4 Pb2'
_cell_length_a 3.855
_cell_length_b 5.580
_cell_length_c 9.315
_cell_angle_alpha 90.00
_cell_angle_beta 90.00
_cell_angle_gamma 90.00
_space_group_name_H-M_alt 'C m m m'
_space_group_IT_number 65
_space_group_name_Hall '-C 2 2'
loop_
_atom_site_label
_atom_site_type_symbol
_atom_site_fract_x
_atom_site_fract_y
_atom_site_fract_z
_atom_site_occupancy
Te1 Te 0.000 0.000 0.000 1
As1 As 0.000 0.500 0.239 1
Pb1 Pb 0.000 0.000 0.500 1
```

# 9
Material: AgP3
Method: DFT, PBE-GGA
State: optimized geometry

Properties
**Magnetic moment**: 0.0000 μB per atom
**Formation energy**: 0.396 eV per atom
**ΔE to the lowest computed polymorph**: 0.212 eV/atom

The structure in CIF format:
```
data_AgP3
_chemical_formula_sum 'Ag4 P12'
_cell_length_a 7.956
_cell_length_b 11.146
_cell_length_c 3.279
_cell_angle_alpha 90.00
_cell_angle_beta 90.00
_cell_angle_gamma 90.00
_space_group_name_H-M_alt 'C m c m'
_space_group_IT_number 63
_space_group_name_Hall '-C 2c 2'
loop_
_atom_site_label
_atom_site_type_symbol
_atom_site_fract_x
_atom_site_fract_y
_atom_site_fract_z
_atom_site_occupancy
Ag1 Ag 0.000 0.104 0.250 1
P1 P 0.000 0.292 0.750 1
P2 P 0.144 0.418 0.250 1
```

# 10
Material: NdGdZnPd
Method: DFT, PBE-GGA
State: optimized geometry

Properties
**Magnetic moment**: 1.7950 μB per atom
**Formation energy**: -0.535 eV per atom

The structure in CIF format:
```
data_NdGdZnPd
_chemical_formula_sum 'Nd4 Gd4 Zn4 Pd4'
_cell_length_a 7.232
_cell_length_b 7.232
_cell_length_c 7.232
_cell_angle_alpha 90.00
_cell_angle_beta 90.00
_cell_angle_gamma 90.00
_space_group_name_H-M_alt 'F -4 3 m'
_space_group_IT_number 216
_space_group_name_Hall 'F -4 2 3'
loop_
_atom_site_label
_atom_site_type_symbol
_atom_site_fract_x
_atom_site_fract_y
_atom_site_fract_z
_atom_site_occupancy
Nd1 Nd 0.000 0.000 0.000 1
Gd1 Gd 0.000 0.000 0.500 1
Zn1 Zn 0.250 0.250 0.250 1
Pd1 Pd 0.250 0.250 0.750 1
```